No. 1
# CsTb4YS8, optimized geometry, DFT PBE-GGA
data_CsTb4YS8
_cell_length_a 8.3679
_cell_length_b 8.3679
_cell_length_c 8.3679
_cell_angle_alpha 60.05
_cell_angle_beta 60.05
_cell_angle_gamma 60.05
_space_group_name_H-M_alt 'P 1'
_space_group_IT_number 1
_space_group_name_Hall 'P 1'
loop_
_atom_site_label
_atom_site_type_symbol
_atom_site_fract_x
_atom_site_fract_y
_atom_site_fract_z
Cs1 Cs 0.0000 0.0000 0.0000
Tb1 Tb 0.1113 0.6295 0.6295
Tb2 Tb 0.2500 0.2500 0.2500
Tb3 Tb 0.6295 0.1113 0.6295
Tb4 Tb 0.6295 0.6295 0.1113
Y1 Y 0.6296 0.6296 0.6296
S1 S 0.3818 0.3818 0.3818
S2 S 0.3823 0.3823 0.8543
S3 S 0.3823 0.8543 0.3823
S4 S 0.4400 0.8530 0.8530
S5 S 0.8530 0.4400 0.8530
S6 S 0.8530 0.8530 0.4400
S7 S 0.8532 0.8532 0.8532
S8 S 0.8543 0.3823 0.3823
# crystal system = trigonal
# E_form (uncorrected) = -1.87 eV per atom
# volume = 415 Å³ per cell
# VASP energy = -85.01 eV/cell

***

No. 2
# Cs3TbY2S6, optimized geometry, DFT PBE-GGA
data_Cs3TbY2S6
_cell_length_a 7.1291
_cell_length_b 7.1291
_cell_length_c 8.4103
_cell_angle_alpha 98.12
_cell_angle_beta 98.12
_cell_angle_gamma 120.00
_space_group_name_H-M_alt 'P 1'
_space_group_IT_number 1
_space_group_name_Hall 'P 1'
loop_
_atom_site_label
_atom_site_type_symbol
_atom_site_fract_x
_atom_site_fract_y
_atom_site_fract_z
Cs1 Cs 0.0000 0.0000 0.0000
Cs2 Cs 0.3333 0.6667 0.0000
Cs3 Cs 0.6667 0.3333 0.0000
Tb1 Tb 0.5000 0.5000 0.5000
Y1 Y 0.1666 0.8334 0.5000
Y2 Y 0.8334 0.1666 0.5000
S1 S 0.1053 0.4393 0.3180
S2 S 0.2267 0.2267 0.6820
S3 S 0.4393 0.1053 0.3180
S4 S 0.5607 0.8947 0.6820
S5 S 0.7733 0.7733 0.3180
S6 S 0.8947 0.5607 0.6820
# crystal system = monoclinic
# E_form (uncorrected) = -1.84 eV per atom
# volume = 355 Å³ per cell
# VASP energy = -66.92 eV/cell

***

No. 3
# Cs2TbZn2S4, optimized geometry, DFT PBE-GGA
data_Cs2TbZn2S4
_cell_length_a 8.4036
_cell_length_b 8.4036
_cell_length_c 8.3874
_cell_angle_alpha 111.68
_cell_angle_beta 111.68
_cell_angle_gamma 27.31
_space_group_name_H-M_alt 'P 1'
_space_group_IT_number 1
_space_group_name_Hall 'P 1'
loop_
_atom_site_label
_atom_site_type_symbol
_atom_site_fract_x
_atom_site_fract_y
_atom_site_fract_z
Cs1 Cs 0.1304 0.1304 0.0621
Cs2 Cs 0.8696 0.8696 0.9379
Tb1 Tb 0.0000 0.0000 0.5000
Zn1 Zn 0.3214 0.3214 0.4800
Zn2 Zn 0.6786 0.6786 0.5200
S1 S 0.1820 0.1820 0.6893
S2 S 0.4656 0.4656 0.6993
S3 S 0.5344 0.5344 0.3007
S4 S 0.8180 0.8180 0.3107
# crystal system = monoclinic
# E_form (uncorrected) = -1.15 eV per atom
# volume = 251 Å³ per cell
# VASP energy = -35.79 eV/cell

***

No. 4
# Cs4Tb3ZrS8, optimized geometry, DFT PBE-GGA
data_Cs4Tb3ZrS8
_cell_length_a 9.3228
_cell_length_b 9.3228
_cell_length_c 9.3228
_cell_angle_alpha 51.47
_cell_angle_beta 51.47
_cell_angle_gamma 51.47
_space_group_name_H-M_alt 'P 1'
_space_group_IT_number 1
_space_group_name_Hall 'P 1'
loop_
_atom_site_label
_atom_site_type_symbol
_atom_site_fract_x
_atom_site_fract_y
_atom_site_fract_z
Cs1 Cs 0.0000 0.0000 0.0000
Cs2 Cs 0.0000 0.5000 0.5000
Cs3 Cs 0.5000 0.0000 0.5000
Cs4 Cs 0.5000 0.5000 0.0000
Tb1 Tb 0.0000 0.0000 0.5000
Tb2 Tb 0.0000 0.5000 0.0000
Tb3 Tb 0.5000 0.0000 0.0000
Zr1 Zr 0.5000 0.5000 0.5000
S1 S 0.2281 0.2281 0.2281
S2 S 0.2409 0.7198 0.7198
S3 S 0.2802 0.2802 0.7591
S4 S 0.2802 0.7591 0.2802
S5 S 0.7198 0.2409 0.7198
S6 S 0.7198 0.7198 0.2409
S7 S 0.7591 0.2802 0.2802
S8 S 0.7719 0.7719 0.7719
# crystal system = trigonal
# E_form (uncorrected) = -1.71 eV per atom
# volume = 458 Å³ per cell
# VASP energy = -86.27 eV/cell

***

No. 5
# Cs2Tb2ZrS6, optimized geometry, DFT PBE-GGA
data_Cs2Tb2ZrS6
_cell_length_a 6.8543
_cell_length_b 6.8543
_cell_length_c 8.5798
_cell_angle_alpha 97.90
_cell_angle_beta 97.90
_cell_angle_gamma 119.72
_space_group_name_H-M_alt 'P 1'
_space_group_IT_number 1
_space_group_name_Hall 'P 1'
loop_
_atom_site_label
_atom_site_type_symbol
_atom_site_fract_x
_atom_site_fract_y
_atom_site_fract_z
Cs1 Cs 0.1689 0.8311 0.0000
Cs2 Cs 0.8311 0.1689 0.0000
Tb1 Tb 0.3333 0.6667 0.5000
Tb2 Tb 0.6667 0.3333 0.5000
Zr1 Zr 0.0000 0.0000 0.5000
S1 S 0.0608 0.3772 0.6771
S2 S 0.2550 0.2550 0.3239
S3 S 0.3772 0.0608 0.6771
S4 S 0.6228 0.9392 0.3229
S5 S 0.7450 0.7450 0.6761
S6 S 0.9392 0.6228 0.3229
# crystal system = monoclinic
# E_form (uncorrected) = -1.79 eV per atom
# volume = 337 Å³ per cell
# VASP energy = -63.98 eV/cell

***

No. 6
# CsTc3S, optimized geometry, DFT PBE-GGA
data_CsTc3S
_cell_length_a 5.0243
_cell_length_b 5.0243
_cell_length_c 5.0243
_cell_angle_alpha 90.00
_cell_angle_beta 90.00
_cell_angle_gamma 90.00
_space_group_name_H-M_alt 'P 1'
_space_group_IT_number 1
_space_group_name_Hall 'P 1'
loop_
_atom_site_label
_atom_site_type_symbol
_atom_site_fract_x
_atom_site_fract_y
_atom_site_fract_z
Cs1 Cs 0.0000 0.0000 0.0000
Tc1 Tc 0.0000 0.0000 0.5000
Tc2 Tc 0.0000 0.5000 0.0000
Tc3 Tc 0.5000 0.0000 0.0000
S1 S 0.5000 0.5000 0.5000
# crystal system = cubic
# E_form (uncorrected) = 3.29 eV per atom
# volume = 127 Å³ per cell
# VASP energy = -19.62 eV/cell

***

VASP energy of number 3 (Cs2TbZn2S4)?
-35.79 eV/cell